(1)
# Li2TiAs PBE optimized geometry
# Calculated total energy: -4.355 eV/atom
data_Li2TiAs
_space_group_name_H-M_alt 'I -4 2 d'
_space_group_IT_number 122
_space_group_name_Hall 'I -4 2bw'
_cell_length_a 3.654
_cell_length_b 3.654
_cell_length_c 20.164
_cell_angle_alpha 90.00
_cell_angle_beta 90.00
_cell_angle_gamma 90.00
loop_
_atom_site_label
_atom_site_fract_x
_atom_site_fract_y
_atom_site_fract_z
Li1 0.228 0.750 0.125
Ti1 0.000 0.000 0.500
As1 0.000 0.000 0.000



(2)
# TePt2W PBE optimized geometry
# E_form (uncorrected): 0.19 eV/atom
data_TePt2W
_space_group_name_H-M_alt 'R -3 m'
_space_group_IT_number 166
_space_group_name_Hall '-R 3 2"'
_cell_length_a 2.9492
_cell_length_b 2.9492
_cell_length_c 29.1409
_cell_angle_alpha 90.00
_cell_angle_beta 90.00
_cell_angle_gamma 120.00
loop_
_atom_site_label
_atom_site_fract_x
_atom_site_fract_y
_atom_site_fract_z
Te1 0.0000 0.0000 0.0000
Pt1 0.0000 0.0000 0.2405
W1 0.0000 0.0000 0.5000



(3)
# In2GeCl PBE optimized geometry
# E above lowest polymorph: 82 meV/atom
# E_form (uncorrected): -0.11 eV/atom
data_In2GeCl
_space_group_name_H-M_alt 'I -4 2 d'
_space_group_IT_number 122
_space_group_name_Hall 'I -4 2bw'
_cell_length_a 6.335
_cell_length_b 6.335
_cell_length_c 13.890
_cell_angle_alpha 90.00
_cell_angle_beta 90.00
_cell_angle_gamma 90.00
loop_
_atom_site_label
_atom_site_fract_x
_atom_site_fract_y
_atom_site_fract_z
In1 0.217 0.250 0.125
Ge1 0.000 0.000 0.000
Cl1 0.000 0.000 0.500



(4)
# KZr2Te PBE optimized geometry
# E_form (uncorrected): 0.33 eV/atom
data_KZr2Te
_space_group_name_H-M_alt 'I m m 2'
_space_group_IT_number 44
_cell_length_a 3.534
_cell_length_b 5.777
_cell_length_c 11.022
_cell_angle_alpha 90.00
_cell_angle_beta 90.00
_cell_angle_gamma 90.00
loop_
_space_group_symop_operation_xyz
'x,y,z'
'-x,-y,z'
'-x,y,z'
'x,-y,z'
'x+1/2,y+1/2,z+1/2'
'-x+1/2,-y+1/2,z+1/2'
'-x+1/2,y+1/2,z+1/2'
'x+1/2,-y+1/2,z+1/2'
loop_
_atom_site_label
_atom_site_fract_x
_atom_site_fract_y
_atom_site_fract_z
K1 0.000 0.000 0.000
Zr1 0.000 0.000 0.475
Zr2 0.000 0.500 0.206
Te1 0.000 0.500 0.763



(5)
# GaOsPt2 PBE optimized geometry
# Calculated total energy: -6.282 eV/atom
data_GaOsPt2
_space_group_name_H-M_alt 'I -4 2 d'
_space_group_IT_number 122
_space_group_name_Hall 'I -4 2bw'
_cell_length_a 3.812
_cell_length_b 3.812
_cell_length_c 18.151
_cell_angle_alpha 90.00
_cell_angle_beta 90.00
_cell_angle_gamma 90.00
loop_
_atom_site_label
_atom_site_fract_x
_atom_site_fract_y
_atom_site_fract_z
Ga1 0.000 0.000 0.000
Os1 0.000 0.000 0.500
Pt1 0.248 0.250 0.625



(6)
# AgRh3Br PBE optimized geometry
# E above lowest polymorph: 782 meV/atom
# E_form (uncorrected): 1.74 eV/atom
data_AgRh3Br
_space_group_name_H-M_alt 'P m -3 m'
_space_group_IT_number 221
_space_group_name_Hall '-P 4 2 3'
_cell_length_a 4.956
_cell_length_b 4.956
_cell_length_c 4.956
_cell_angle_alpha 90.00
_cell_angle_beta 90.00
_cell_angle_gamma 90.00
loop_
_atom_site_label
_atom_site_fract_x
_atom_site_fract_y
_atom_site_fract_z
Ag1 0.000 0.000 0.000
Rh1 0.000 0.000 0.500
Br1 0.500 0.500 0.500



(7)
# AgOsCl2 PBE optimized geometry
# E above lowest polymorph: 134 meV/atom
# E_form (uncorrected): 0.38 eV/atom
data_AgOsCl2
_space_group_name_H-M_alt 'R 3 m'
_space_group_IT_number 160
_space_group_name_Hall 'R 3 -2"'
_cell_length_a 3.4018
_cell_length_b 3.4018
_cell_length_c 23.7292
_cell_angle_alpha 90.00
_cell_angle_beta 90.00
_cell_angle_gamma 120.00
loop_
_atom_site_label
_atom_site_fract_x
_atom_site_fract_y
_atom_site_fract_z
Ag1 0.0000 0.0000 0.0000
Os1 0.0000 0.0000 0.2513
Cl1 0.0000 0.0000 0.5301
Cl2 0.0000 0.0000 0.7387



(8)
# Ta3Br PBE optimized geometry
# E above lowest polymorph: 200 meV/atom
# E_form (uncorrected): 0.55 eV/atom
data_Ta3Br
_space_group_name_H-M_alt 'C m c m'
_space_group_IT_number 63
_space_group_name_Hall '-C 2c 2'
_cell_length_a 7.902
_cell_length_b 8.440
_cell_length_c 4.556
_cell_angle_alpha 90.00
_cell_angle_beta 90.00
_cell_angle_gamma 90.00
loop_
_atom_site_label
_atom_site_fract_x
_atom_site_fract_y
_atom_site_fract_z
Ta1 0.000 0.142 0.250
Ta2 0.225 0.106 0.750
Br1 0.000 0.364 0.750